The following is a PBE calculation of a relaxed structure of BaCdAg2Sn, from Alexandria via LeMat-Bulk.

Output
- Energy of formation from the pure elements: -1.50 eV per formula unit

Geometry as POSCAR:
```
BaCdAg2Sn
1.0
-4.779 0.908 0.800
-0.973 -0.907 -4.787
2.041 -5.459 3.197
Ba Sn Cd Ag
1 1 1 2
Direct
0.439 0.439 0.878
0.821 0.821 0.641
0.185 0.685 0.371
0.066 0.066 0.132
0.701 0.201 0.402
```

The following is a PBE calculation of a relaxed structure of Mg3In2Ag3Hg, from Alexandria via LeMat-Bulk.

Output
- Energy of formation from the pure elements: -0.72 eV per formula unit

Geometry as POSCAR:
```
Mg3In2Ag3Hg
1.0
3.177 0.000 0.000
0.000 8.211 0.000
0.000 -4.105 7.111
Hg Ag In Mg
1 3 2 3
Direct
0.000 0.000 0.000
0.000 0.000 0.367
0.000 0.367 0.000
0.000 0.633 0.633
0.500 0.333 0.667
0.500 0.667 0.333
0.500 0.000 0.711
0.500 0.711 0.000
0.500 0.289 0.289
```

The following is a PBE calculation of a relaxed structure of CaGa3Si, from Alexandria via LeMat-Bulk.

Output
- ΔE to the lowest computed polymorph: 0.3061 eV per atom
- Raw formation energy: 0.09 eV per atom

Geometry as POSCAR:
```
CaGa3Si
1.0
4.927 0.000 0.000
0.000 4.927 0.000
0.000 0.000 4.927
Ca Ga Si
1 3 1
Direct
0.500 0.500 0.500
0.000 0.000 0.500
0.500 0.000 0.000
0.000 0.500 0.000
0.000 0.000 0.000
```

The following is a PBE calculation of a relaxed structure of Fe4B, from Alexandria via LeMat-Bulk.

Output
- Energy of formation from the pure elements: 0.73 eV per formula unit

Geometry as POSCAR:
```
Fe4B
1.0
3.826 0.000 0.000
0.000 3.826 0.000
0.000 0.000 3.826
Fe B
4 1
Direct
0.000 0.500 0.500
0.500 0.000 0.500
0.500 0.500 0.000
0.000 0.000 0.000
0.500 0.500 0.500
```

The following is a PBE calculation of a relaxed structure of Tl2AgPd4, from Alexandria via LeMat-Bulk.

Output
- ΔE to the lowest computed polymorph: 0.0000 eV per atom
- Energy of formation from the pure elements: -0.47 eV per formula unit

Geometry as POSCAR:
```
Tl2AgPd4
1.0
5.197 -0.684 -2.247
-2.788 4.839 -1.154
-0.394 0.684 5.648
Ag Tl Pd
1 2 4
Direct
0.000 0.000 0.000
0.500 0.000 0.500
0.500 0.500 0.000
0.500 0.000 0.000
0.000 0.500 0.000
0.500 0.500 0.500
0.000 0.000 0.500
```

The following is a PBE calculation of a relaxed structure of Tb3GaNi9B2, from Alexandria via LeMat-Bulk.

Output
- Energy of formation from the pure elements: -6.21 eV per formula unit

Geometry as POSCAR:
```
Tb3GaNi9B2
1.0
5.398 0.000 0.000
-2.699 4.674 0.000
0.000 0.000 8.427
Ni Tb B Ga
9 3 2 1
Direct
0.834 0.166 0.721
0.332 0.166 0.721
0.834 0.668 0.721
0.500 0.000 0.000
0.500 0.500 0.000
0.166 0.332 0.279
0.668 0.834 0.279
0.166 0.834 0.279
0.000 0.500 0.000
0.000 0.000 0.000
0.667 0.333 0.367
0.333 0.667 0.633
0.667 0.333 0.856
0.333 0.667 0.144
0.000 0.000 0.500
```

The following is a PBE calculation of a relaxed structure of Ge2OF, from Alexandria via LeMat-Bulk.

Output
- ΔE to the lowest computed polymorph: 0.1579 eV per atom
- Raw formation energy: -0.73 eV per atom

Geometry as POSCAR:
```
Ge2OF
1.0
-4.271 1.117 2.684
1.343 -3.473 3.582
1.331 2.788 5.931
O F Ge
2 2 4
Direct
0.500 0.500 0.000
0.250 0.750 0.500
0.000 0.000 0.000
0.750 0.250 0.500
0.572 0.125 0.250
0.178 0.625 0.250
0.375 0.428 0.750
0.875 0.822 0.750
```

The following is a PBE calculation of a relaxed structure of HoBeSiNi6, from Alexandria via LeMat-Bulk.

Output
- Raw formation energy: -0.18 eV per atom

Geometry as POSCAR:
```
HoBeSiNi6
1.0
-5.792 -1.878 0.642
1.943 -3.897 6.131
0.929 6.943 -0.494
Ni Ho Be Si
12 2 2 2
Direct
0.410 0.160 0.820
0.983 0.733 0.966
0.017 0.267 0.034
0.323 0.630 0.239
0.916 0.630 0.239
0.916 0.109 0.239
0.677 0.891 0.761
0.590 0.840 0.180
0.677 0.370 0.761
0.084 0.891 0.761
0.084 0.370 0.761
0.323 0.109 0.239
0.292 0.542 0.585
0.708 0.458 0.415
0.500 0.000 0.000
0.500 0.500 0.000
0.500 0.000 0.500
0.000 0.000 0.500
```

The following is a PBE calculation of a relaxed structure of SmDyAl3, from Alexandria via LeMat-Bulk.

Output
- Energy of formation from the pure elements: -2.25 eV per formula unit

Geometry as POSCAR:
```
SmDyAl3
1.0
-0.907 2.028 -3.974
2.107 -2.422 -1.717
-12.006 -7.087 -0.877
Al Sm Dy
6 2 2
Direct
0.750 0.524 0.048
0.750 0.328 0.656
0.250 0.380 0.760
0.750 0.620 0.240
0.250 0.476 0.952
0.250 0.672 0.344
0.250 0.072 0.145
0.750 0.928 0.855
0.250 0.789 0.578
0.750 0.211 0.422
```

The following is a PBE calculation of a relaxed structure of Ni2AsW, from Alexandria via LeMat-Bulk.

Output
- Energy of formation from the pure elements: 0.37 eV per formula unit

Geometry as POSCAR:
```
Ni2AsW
1.0
-1.011 2.294 -1.280
-0.568 -1.784 -2.748
-5.181 -1.238 1.875
Ni As W
2 1 1
Direct
0.000 0.000 0.003
0.500 0.500 0.232
0.500 0.500 0.783
0.000 0.000 0.482
```

The following is a PBE calculation of a relaxed structure of OsPdRu, from Alexandria via LeMat-Bulk.

Output
- ΔE to the lowest computed polymorph: 0.2983 eV per atom
- Energy of formation from the pure elements: 1.25 eV per formula unit

Geometry as POSCAR:
```
OsPdRu
1.0
0.083 -5.080 0.445
2.459 -4.415 -0.684
4.706 -6.564 6.039
Pd Os Ru
2 2 2
Direct
0.285 0.285 0.341
0.468 0.468 0.966
0.268 0.268 0.620
0.485 0.485 0.687
0.597 0.597 0.285
0.156 0.156 0.022
```

The following is a PBE calculation of a relaxed structure of TbTmMn, from Alexandria via LeMat-Bulk.

Output
- ΔE to the lowest computed polymorph: 0.1969 eV per atom
- Energy of formation from the pure elements: 1.00 eV per formula unit

Geometry as POSCAR:
```
TbTmMn
1.0
-1.651 1.036 2.783
-1.575 -4.758 -1.238
8.034 -0.599 4.988
Tb Mn Tm
2 2 2
Direct
0.326 0.652 0.390
0.674 0.348 0.610
0.786 0.572 0.955
0.214 0.428 0.045
0.527 0.053 0.173
0.473 0.947 0.827
```